The following is a PBE calculation of a relaxed structure of BeBi, from the Alexandria database.

Cell: 11.174 11.174 4.233 Å, 90.00 90.00 90.00°
Sites, in units of the cell vectors:
Be (0.737, 0.631, 0.500)
Be (0.263, 0.369, 0.500)
Be (0.369, 0.737, 0.500)
Be (0.631, 0.263, 0.500)
Be (0.931, 0.425, 0.000)
Be (0.069, 0.575, 0.000)
Be (0.575, 0.931, 0.000)
Be (0.425, 0.069, 0.000)
Bi (0.806, 0.402, 0.500)
Bi (0.194, 0.598, 0.500)
Bi (0.598, 0.806, 0.500)
Bi (0.402, 0.194, 0.500)
Bi (0.857, 0.654, 0.000)
Bi (0.143, 0.346, 0.000)
Bi (0.346, 0.857, 0.000)
Bi (0.654, 0.143, 0.000)

Values from the calculation:
- M_tot: 0.0 μB/f.u.
- DFT formation energy: 54.4 kJ/mol of atoms
- ρ: 5.5 g cm⁻³


The following is a PBE calculation of a relaxed structure of BeBi, from the Alexandria database.

Cell: 5.837 5.837 5.837 Å, 90.00 90.00 90.00°
Sites, in units of the cell vectors:
Be (0.250, 0.250, 0.250)
Be (0.250, 0.750, 0.750)
Be (0.750, 0.250, 0.750)
Be (0.750, 0.750, 0.250)
Bi (0.000, 0.000, 0.000)
Bi (0.000, 0.500, 0.500)
Bi (0.500, 0.000, 0.500)
Bi (0.500, 0.500, 0.000)

Values from the calculation:
- M_tot: 0.0 μB/f.u.
- DFT formation energy: 50.9 kJ/mol of atoms
- ρ: 7.3 g cm⁻³


The following is a PBE calculation of a relaxed structure of BeBi, from the Alexandria database.

Cell: 4.047 6.951 11.831 Å, 90.00 90.00 90.00°
Sites, in units of the cell vectors:
Be (0.000, 0.827, 0.643)
Be (0.500, 0.173, 0.857)
Be (0.500, 0.173, 0.143)
Be (0.000, 0.827, 0.357)
Be (0.000, 0.639, 0.000)
Be (0.500, 0.361, 0.500)
Bi (0.000, 0.935, 0.860)
Bi (0.500, 0.065, 0.640)
Bi (0.500, 0.065, 0.360)
Bi (0.000, 0.935, 0.140)
Bi (0.000, 0.567, 0.500)
Bi (0.500, 0.433, 0.000)

Values from the calculation:
- M_tot: 0.0 μB/f.u.
- DFT formation energy: 55.2 kJ/mol of atoms
- ρ: 6.5 g cm⁻³


The following is a PBE calculation of a relaxed structure of BeBi, from the Alexandria database.

Cell: 5.481 5.481 5.481 Å, 90.00 90.00 90.00°
Sites, in units of the cell vectors:
Be (0.000, 0.000, 0.000)
Be (0.000, 0.500, 0.500)
Be (0.500, 0.000, 0.500)
Be (0.500, 0.500, 0.000)
Bi (0.500, 0.500, 0.500)
Bi (0.500, 0.000, 0.000)
Bi (0.000, 0.500, 0.000)
Bi (0.000, 0.000, 0.500)

Values from the calculation:
- M_tot: 0.0 μB/f.u.
- DFT formation energy: 55.0 kJ/mol of atoms
- ρ: 8.8 g cm⁻³